# 1
# LaFe2Br8

Crystalline LaFe2Br8 at its relaxed geometry (GGA-PBE, the Alexandria database). Values from VASP.

E (eV/atom): -4.191
ΔE_f (raw) (kJ per mole of atoms): -95.3
SG: No. 12

Cell and atoms, written as Quantum ESPRESSO input:
```
&SYSTEM
  ibrav = 0, nat = 11, ntyp = 3
/
ATOMIC_SPECIES
La 138.91 La.upf
Fe 55.84 Fe.upf
Br 79.90 Br.upf
ATOMIC_POSITIONS angstrom
La 0.000 0.000 0.000
Fe 2.231 0.000 4.319
Fe 10.879 0.000 2.429
Br 5.346 2.901 1.673
Br 2.319 0.000 1.894
Br 7.764 2.901 5.076
Br 4.349 0.000 5.205
Br 8.760 0.000 1.544
Br 5.346 -2.901 1.673
Br 10.791 0.000 4.855
Br 7.764 -2.901 5.076
CELL_PARAMETERS angstrom
6.841 -4.828 0.000
6.841 4.828 0.000
-0.572 0.000 6.749
```

=====

# 2
# LaFeBr2

Crystalline LaFeBr2 at its relaxed geometry (GGA-PBE, the Alexandria database). Values from VASP.

E (eV/atom): -4.741
ΔE_f (raw) (kJ per mole of atoms): -53.7
E above lowest polymorph (meV per atom): 83
SG: No. 44

Cell and atoms, written as Quantum ESPRESSO input:
```
&SYSTEM
  ibrav = 0, nat = 4, ntyp = 3
/
ATOMIC_SPECIES
La 138.91 La.upf
Fe 55.84 Fe.upf
Br 79.90 Br.upf
ATOMIC_POSITIONS angstrom
La 0.000 0.000 0.000
Fe 0.000 2.114 5.197
Br 1.834 0.000 5.034
Br 0.000 0.000 8.847
CELL_PARAMETERS angstrom
-1.834 2.114 7.303
1.834 -2.114 7.303
1.834 2.114 -7.303
```

=====

# 3
# La2FeBr

Crystalline La2FeBr at its relaxed geometry (GGA-PBE, the Alexandria database). Values from VASP.

E (eV/atom): -5.275
ΔE_f (raw) (kJ per mole of atoms): -26.7
E above lowest polymorph (meV per atom): 295
SG: No. 65

Cell and atoms, written as Quantum ESPRESSO input:
```
&SYSTEM
  ibrav = 0, nat = 4, ntyp = 3
/
ATOMIC_SPECIES
La 138.91 La.upf
Fe 55.84 Fe.upf
Br 79.90 Br.upf
ATOMIC_POSITIONS angstrom
La 1.914 1.917 0.000
La 1.914 -1.917 0.000
Fe 0.000 0.000 1.743
Br 3.828 0.000 1.743
CELL_PARAMETERS angstrom
3.828 -3.834 0.000
3.828 3.834 0.000
0.000 0.000 3.486
```

=====

# 4
# La3Fe3Br

Crystalline La3Fe3Br at its relaxed geometry (GGA-PBE, the Alexandria database). Values from VASP.

E (eV/atom): -6.284
ΔE_f (raw) (kJ per mole of atoms): -29.6
SG: No. 176

Cell and atoms, written as Quantum ESPRESSO input:
```
&SYSTEM
  ibrav = 0, nat = 14, ntyp = 3
/
ATOMIC_SPECIES
La 138.91 La.upf
Fe 55.84 Fe.upf
Br 79.90 Br.upf
ATOMIC_POSITIONS angstrom
La -1.094 3.347 1.002
La -1.576 7.972 1.002
La 2.352 2.621 3.007
La 2.670 6.077 1.002
La 6.598 0.726 3.007
La 6.116 5.351 3.007
Fe -0.593 1.283 3.007
Fe -3.614 8.570 3.007
Fe 0.815 1.155 1.002
Fe 4.207 7.543 3.007
Fe 8.636 0.128 1.002
Fe 5.614 7.415 1.002
Br 0.000 5.799 3.007
Br 5.022 2.899 1.002
CELL_PARAMETERS angstrom
10.044 0.000 0.000
-5.022 8.698 0.000
0.000 0.000 4.009
```

=====

# 5
# La2FeBr

Crystalline La2FeBr at its relaxed geometry (GGA-PBE, the Alexandria database). Values from VASP.

E (eV/atom): -5.459
ΔE_f (raw) (kJ per mole of atoms): -44.5
E above lowest polymorph (meV per atom): 110
SG: No. 38

Cell and atoms, written as Quantum ESPRESSO input:
```
&SYSTEM
  ibrav = 0, nat = 4, ntyp = 3
/
ATOMIC_SPECIES
La 138.91 La.upf
Fe 55.84 Fe.upf
Br 79.90 Br.upf
ATOMIC_POSITIONS angstrom
La 0.000 0.000 0.000
La 2.377 0.000 3.363
Fe 0.000 0.000 9.557
Br 2.377 0.000 6.508
CELL_PARAMETERS angstrom
4.753 0.000 0.000
0.000 1.909 5.856
0.000 -1.909 5.856
```

=====

# 6
# La2FeBr

Crystalline La2FeBr at its relaxed geometry (GGA-PBE, the Alexandria database). Values from VASP.

E (eV/atom): -5.569
ΔE_f (raw) (kJ per mole of atoms): -55.2
E above lowest polymorph (meV per atom): 0
SG: No. 166

Cell and atoms, written as Quantum ESPRESSO input:
```
&SYSTEM
  ibrav = 0, nat = 4, ntyp = 3
/
ATOMIC_SPECIES
La 138.91 La.upf
Fe 55.84 Fe.upf
Br 79.90 Br.upf
ATOMIC_POSITIONS angstrom
La 0.000 0.000 5.510
La 0.000 0.000 18.320
Fe 0.000 0.000 11.915
Br 0.000 0.000 0.000
CELL_PARAMETERS angstrom
2.022 1.167 7.943
-2.022 1.167 7.943
0.000 -2.334 7.943
```

=====

Number 1: total moment 9.000 μB/cell. Number 2: total moment 1.766 μB/cell. Number 3: total moment 2.040 μB/cell. Number 4: total moment 8.736 μB/cell. Number 5: total moment 0.000 μB/cell. Number 6: total moment 0.307 μB/cell.